Here is LiCrTe2 after structural relaxation from Alexandria via LeMat-Bulk. Energies are from GGA-PBE.

Values from the calculation:
The uncorrected energy is -18.34 eV/f.u. The magnetization is 3.32 μB/f.u. The theoretical density is 5.7 g cm⁻³.

Unit cell a=3.5301 b=3.5301 c=7.3266 alpha=90.00 beta=90.00 gamma=90.00
Closest atoms and distances in Å follow each position.
Space group P4/mmm (No. 123)
Asymmetric unit:
Li 0.0000 0.0000 0.0000 [1 per cell]  8 Te 3.18, 4 Li 3.53
Cr 0.0000 0.0000 0.5000 [1 per cell]  8 Te 3.01
Te 0.5000 0.5000 0.2697 [2 per cell]  4 Cr 3.01, 4 Li 3.18, 1 Te 3.37